Computed, not measured: a geometry-optimized LaTmScZn structure at the GGA-PBE level of DFT.

The space group is F-43m (No. 216) and the conventional cell measures 7.4962, 7.4962 and 7.4962 Å, with angles of 90.00, 90.00 and 90.00 degrees. The asymmetric unit holds La at (0.0000, 0.0000, 0.0000), Tm at (0.0000, 0.0000, 0.5000), Sc at (0.2500, 0.2500, 0.2500) and Zn at (0.2500, 0.2500, 0.7500).

The calculation puts the energy above the most stable polymorph in this dataset at 140.8 meV per atom. The calculated formation energy comes out at -4 meV/atom. Its density of states at the Fermi level is 1.16 states/eV/atom. The value obtained for the final energy is -4.255 eV per atom.